Below is a relaxed structure of BaZn3Ag2, with properties calculated at the PBE level.

```
BaZn3Ag2
1.0
8.4284 -2.2655 0.0000
8.4284 2.2655 0.0000
-3.4422 0.0000 7.2286
Ba Zn Ag
2 6 4
direct
0.1516 0.1516 0.0831
0.8484 0.8484 0.9169
0.0105 0.0105 0.3524
0.3081 0.3081 0.5401
0.4119 0.4119 0.3625
0.5881 0.5881 0.6375
0.6919 0.6919 0.4599
0.9895 0.9895 0.6476
0.1742 0.1742 0.6355
0.4789 0.4789 0.8081
0.5211 0.5211 0.1919
0.8258 0.8258 0.3645
```

Properties
Its space-group type is C2/m (12). The calculation puts the formation energy at -0.145 eV/atom. The calculation puts the mass density at 6.61 Mg/m³.

Below is a relaxed structure of Ba2Au, with properties calculated at the PBE level.

```
Ba2Au
1.0
7.6932 -2.2109 0.0000
7.6932 2.2109 0.0000
-5.9722 0.0000 7.9428
Ba Au
4 2
direct
0.0784 0.0784 0.3971
0.3264 0.3264 0.9172
0.6736 0.6736 0.0828
0.9216 0.9216 0.6029
0.3793 0.3793 0.3018
0.6207 0.6207 0.6982
```

Properties
Its space-group type is C2/m (12). The calculation puts the formation energy at -0.505 eV/atom. The calculation puts the mass density at 5.80 Mg/m³.